(1)
{"formula": "MnRuBr2", "functional": "PBE", "state": "relaxed", "energy_ev_per_cell": -77.79, "de_polymorph_ev_per_fu": 2.060, "formation_energy_uncorrected_ev_per_atom": 0.59, "dos_ef_per_ev_cell": 10.3, "lattice": [[5.8898, 0.0000, 0.0000], [0.0000, 5.8898, 0.0000], [0.0000, 0.0000, 11.3505]], "species": ["Mn", "Mn", "Mn", "Mn", "Ru", "Ru", "Ru", "Ru", "Br", "Br", "Br", "Br", "Br", "Br", "Br", "Br"], "fractional_positions": [[0.0000, 0.0000, 0.0000], [0.0000, 0.5000, 0.2500], [0.5000, 0.0000, 0.7500], [0.5000, 0.5000, 0.5000], [0.0000, 0.0000, 0.5000], [0.0000, 0.5000, 0.7500], [0.5000, 0.0000, 0.2500], [0.5000, 0.5000, 0.0000], [0.2488, 0.2500, 0.1250], [0.2500, 0.7488, 0.3750], [0.2500, 0.7512, 0.8750], [0.2512, 0.2500, 0.6250], [0.7488, 0.7500, 0.6250], [0.7500, 0.2488, 0.8750], [0.7500, 0.2512, 0.3750], [0.7512, 0.7500, 0.1250]]}

=====

(2)
{"formula": "MnRuBr2", "functional": "PBE", "state": "relaxed", "energy_ev_per_cell": -19.31, "de_polymorph_ev_per_fu": 2.198, "formation_energy_uncorrected_ev_per_atom": 0.62, "dos_ef_per_ev_cell": 3.3, "lattice": [[3.2457, 0.0000, 0.0000], [0.0000, 4.1983, 0.0000], [0.0000, 0.0000, 6.1291]], "species": ["Mn", "Ru", "Br", "Br"], "fractional_positions": [[0.0000, 0.0000, 0.0000], [0.5000, 0.0000, 0.5000], [0.0000, 0.5000, 0.5000], [0.5000, 0.5000, 0.0000]]}

=====

(3)
{"formula": "Mn2RuBr", "functional": "PBE", "state": "relaxed", "energy_ev_per_cell": -27.53, "de_polymorph_ev_per_fu": 0.780, "formation_energy_uncorrected_ev_per_atom": 0.44, "dos_ef_per_ev_cell": 3.1, "lattice": [[3.0396, 0.0000, 0.0000], [0.0000, 3.0396, 0.0000], [0.0000, 0.0000, 6.8914]], "species": ["Mn", "Mn", "Ru", "Br"], "fractional_positions": [[0.0000, 0.0000, 0.0000], [0.5000, 0.5000, 0.2331], [0.0000, 0.0000, 0.4131], [0.5000, 0.5000, 0.7444]]}

=====

(4)
{"formula": "Mn2RuBr", "functional": "PBE", "state": "relaxed", "energy_ev_per_cell": -53.05, "de_polymorph_ev_per_fu": 1.786, "formation_energy_uncorrected_ev_per_atom": 0.69, "dos_ef_per_ev_cell": 7.2, "lattice": [[3.1267, 0.0000, 0.0000], [0.0000, 4.7358, 0.0000], [0.0000, 0.0000, 8.6819]], "species": ["Mn", "Mn", "Mn", "Mn", "Ru", "Ru", "Br", "Br"], "fractional_positions": [[0.0000, 0.0000, 0.2467], [0.0000, 0.0000, 0.7533], [0.5000, 0.5000, 0.2533], [0.5000, 0.5000, 0.7467], [0.0000, 0.5000, 0.5000], [0.5000, 0.0000, 0.0000], [0.0000, 0.5000, 0.0000], [0.5000, 0.0000, 0.5000]]}

=====

(5)
{"formula": "MnRuBr", "functional": "PBE", "state": "relaxed", "energy_ev_per_cell": -18.02, "de_polymorph_ev_per_fu": 0.822, "formation_energy_uncorrected_ev_per_atom": 0.70, "dos_ef_per_ev_cell": 3.1, "lattice": [[4.3013, 0.0000, 0.0000], [-2.1506, 3.7250, 0.0000], [0.0000, 0.0000, 3.1033]], "species": ["Mn", "Ru", "Br"], "fractional_positions": [[0.0000, 0.0000, 0.0000], [0.6667, 0.3333, 0.5007], [0.3333, 0.6667, 0.5018]]}

=====

(6)
{"formula": "Mn2RuBr", "functional": "PBE", "state": "relaxed", "energy_ev_per_cell": -28.31, "de_polymorph_ev_per_fu": 0.000, "formation_energy_uncorrected_ev_per_atom": 0.24, "dos_ef_per_ev_cell": 3.2, "lattice": [[3.1505, 0.0000, 0.0000], [0.0000, 3.1123, 0.0000], [-0.0107, 0.0000, 7.2881]], "species": ["Mn", "Mn", "Ru", "Br"], "fractional_positions": [[0.0008, 0.0000, 0.2001], [0.9992, 0.0000, 0.7999], [0.5000, 0.5000, 0.0000], [0.0000, 0.5000, 0.5000]]}

=====

(7)
{"formula": "MnRuBr2", "functional": "PBE", "state": "relaxed", "energy_ev_per_cell": -42.81, "de_polymorph_ev_per_fu": 0.101, "formation_energy_uncorrected_ev_per_atom": 0.10, "dos_ef_per_ev_cell": 1.5, "lattice": [[3.5172, 0.0000, 0.0000], [0.0000, 4.1455, 0.0000], [0.0000, 0.0000, 13.6917]], "species": ["Mn", "Mn", "Ru", "Ru", "Br", "Br", "Br", "Br"], "fractional_positions": [[0.0000, 0.0000, 0.0000], [0.5000, 0.5000, 0.5000], [0.0000, 0.0000, 0.5000], [0.5000, 0.5000, 0.0000], [0.0000, 0.5000, 0.1350], [0.0000, 0.5000, 0.8650], [0.5000, 0.0000, 0.3650], [0.5000, 0.0000, 0.6350]]}

=====

(8)
{"formula": "Mn2RuBr", "functional": "PBE", "state": "relaxed", "energy_ev_per_cell": -52.51, "de_polymorph_ev_per_fu": 2.054, "formation_energy_uncorrected_ev_per_atom": 0.76, "dos_ef_per_ev_cell": 9.6, "lattice": [[3.7853, 0.0000, 0.0000], [0.0000, 3.7853, 0.0000], [0.0000, 0.0000, 9.0585]], "species": ["Mn", "Mn", "Mn", "Mn", "Ru", "Ru", "Br", "Br"], "fractional_positions": [[0.0000, 0.0000, 0.0000], [0.0000, 0.5000, 0.2500], [0.5000, 0.0000, 0.7500], [0.5000, 0.5000, 0.5000], [0.0000, 0.5000, 0.7500], [0.5000, 0.0000, 0.2500], [0.0000, 0.0000, 0.5000], [0.5000, 0.5000, 0.0000]]}

=====

(9)
{"formula": "MnRuBr2", "functional": "PBE", "state": "relaxed", "energy_ev_per_cell": -38.75, "de_polymorph_ev_per_fu": 2.131, "formation_energy_uncorrected_ev_per_atom": 0.60, "dos_ef_per_ev_cell": 6.9, "lattice": [[6.4709, 0.0000, 0.0000], [0.0000, 8.3204, 0.0000], [-1.9353, 0.0000, 3.1081]], "species": ["Mn", "Mn", "Ru", "Ru", "Br", "Br", "Br", "Br"], "fractional_positions": [[0.0000, 0.0000, 0.0000], [0.5000, 0.5000, 0.0000], [0.0000, 0.5000, 0.0000], [0.5000, 0.0000, 0.0000], [0.2500, 0.2500, 0.0000], [0.2500, 0.7500, 0.0000], [0.7500, 0.2500, 0.0000], [0.7500, 0.7500, 0.0000]]}

=====

(10)
{"formula": "Mn2RuBr", "functional": "PBE", "state": "relaxed", "energy_ev_per_cell": -81.47, "de_polymorph_ev_per_fu": 1.154, "formation_energy_uncorrected_ev_per_atom": 0.53, "dos_ef_per_ev_cell": 14.8, "lattice": [[2.9774, 0.0000, 0.0000], [-1.4887, 2.5785, 0.0000], [0.0000, 0.0000, 24.5702]], "species": ["Mn", "Mn", "Mn", "Mn", "Mn", "Mn", "Ru", "Ru", "Ru", "Br", "Br", "Br"], "fractional_positions": [[0.0000, 0.0000, 0.0000], [0.0000, 0.0000, 0.2507], [0.3333, 0.6667, 0.6667], [0.3333, 0.6667, 0.9174], [0.6667, 0.3333, 0.3333], [0.6667, 0.3333, 0.5840], [0.0000, 0.0000, 0.7394], [0.3333, 0.6667, 0.4060], [0.6667, 0.3333, 0.0727], [0.0000, 0.0000, 0.5052], [0.3333, 0.6667, 0.1719], [0.6667, 0.3333, 0.8386]]}

=====

(11)
{"formula": "MnRuBr2", "functional": "PBE", "state": "relaxed", "energy_ev_per_cell": -42.53, "de_polymorph_ev_per_fu": 0.241, "formation_energy_uncorrected_ev_per_atom": 0.13, "dos_ef_per_ev_cell": 4.7, "lattice": [[6.2544, 0.0000, 0.0000], [0.0000, 3.5893, 0.0000], [-1.1773, 0.0000, 8.3117]], "species": ["Mn", "Mn", "Ru", "Ru", "Br", "Br", "Br", "Br"], "fractional_positions": [[0.0000, 0.0000, 0.0000], [0.5000, 0.5000, 0.0000], [0.3573, 0.0000, 0.1290], [0.8573, 0.5000, 0.1290], [0.0023, 0.5000, 0.7917], [0.2292, 0.5000, 0.3366], [0.5023, 0.0000, 0.7917], [0.7292, 0.0000, 0.3366]]}

=====

(12)
{"formula": "MnRuBr", "functional": "PBE", "state": "relaxed", "energy_ev_per_cell": -18.84, "de_polymorph_ev_per_fu": 0.000, "formation_energy_uncorrected_ev_per_atom": 0.43, "dos_ef_per_ev_cell": 2.7, "lattice": [[3.1639, 0.0000, 0.0000], [-1.5819, 2.7400, 0.0000], [0.0000, 0.0000, 5.9319]], "species": ["Mn", "Ru", "Br"], "fractional_positions": [[0.0000, 0.0000, 0.0000], [0.6667, 0.3333, 0.2845], [0.3333, 0.6667, 0.6739]]}